(1)
Density functional theory data (PBE-GGA) for a geometry-optimized TaTl2Ir structure.

abc: 3.073 4.766 5.432
angles: 90.00 93.42 90.00
Sites, in units of the cell vectors:
1 Ta 0.000 0.000 0.000
2 Tl 0.299 0.500 0.746
3 Tl 0.701 0.500 0.254
4 Ir 0.500 0.000 0.500

Distance to the lowest polymorph of the same formula (meV per atom): 471
Formation enthalpy at 0 K (eV per atom): 0.593

***

(2)
Density functional theory data (PBE-GGA) for a geometry-optimized TaTl3Ir structure.

abc: 5.193 5.193 5.193
angles: 90.00 90.00 90.00
Sites, in units of the cell vectors:
1 Ta 0.000 0.000 0.000
2 Tl 0.000 0.500 0.500
3 Tl 0.500 0.000 0.500
4 Tl 0.500 0.500 0.000
5 Ir 0.500 0.500 0.500

Distance to the lowest polymorph of the same formula (meV per atom): 0
Formation enthalpy at 0 K (eV per atom): 1.293

***

(3)
Density functional theory data (PBE-GGA) for a geometry-optimized TaTlIr2 structure.

abc: 3.006 3.006 27.450
angles: 90.00 90.00 120.00
Sites, in units of the cell vectors:
1 Ta 0.000 0.000 0.000
2 Ta 0.333 0.667 0.667
3 Ta 0.667 0.333 0.333
4 Tl 0.000 0.000 0.500
5 Tl 0.333 0.667 0.167
6 Tl 0.667 0.333 0.833
7 Ir 0.000 0.000 0.258
8 Ir 0.000 0.000 0.742
9 Ir 0.333 0.667 0.409
10 Ir 0.333 0.667 0.925
11 Ir 0.667 0.333 0.075
12 Ir 0.667 0.333 0.591

Distance to the lowest polymorph of the same formula (meV per atom): 191
Formation enthalpy at 0 K (eV per atom): 0.053

***

(4)
Density functional theory data (PBE-GGA) for a geometry-optimized TmTaIr structure.

abc: 3.927 3.927 15.902
angles: 90.00 90.00 90.00
Sites, in units of the cell vectors:
1 Tm 0.000 0.000 0.177
2 Tm 0.000 0.000 0.823
3 Tm 0.500 0.500 0.323
4 Tm 0.500 0.500 0.677
5 Ta 0.000 0.500 0.000
6 Ta 0.000 0.500 0.500
7 Ta 0.500 0.000 0.000
8 Ta 0.500 0.000 0.500
9 Ir 0.000 0.000 0.374
10 Ir 0.000 0.000 0.626
11 Ir 0.500 0.500 0.126
12 Ir 0.500 0.500 0.874

Formation enthalpy at 0 K (eV per atom): -0.449